## Sc2AsCl (SCAN)

Data for Sc2AsCl at its PBEsol-relaxed geometry.

a b c (Å): 4.236 5.033 6.957
angles (deg): 90.00 90.00 90.00
Space group Cmmm (No. 65)
Inequivalent atoms, fractional coordinates:
Sc  0.000  0.000  0.230 x4
As  0.000  0.500  0.000 x2
Cl  0.000  0.500  0.500 x2

## TaBrCl2 (SCAN)

Data for TaBrCl2 at its PBEsol-relaxed geometry.

a b c (Å): 4.297 4.297 7.632
angles (deg): 90.00 90.00 90.00
Space group I4/mmm (No. 139)
Inequivalent atoms, fractional coordinates:
Ta  0.000  0.000  0.000 x2
Br  0.000  0.000  0.500 x2
Cl  0.000  0.500  0.250 x4

## Properties
Its energy above the most stable polymorph in this dataset is 1240 meV per atom.

Number 1: energy -122.1 eV/cell, DOS(E_F) 3.318 states/eV/f.u.. Number 2: energy -201.0 eV/cell, DOS(E_F) 1.964 states/eV/f.u..